# 1
NaHgHPd2 | GGA-PBE | optimized geometry

Results
Space-group type   P4/mmm
Offset from the most stable computed form   0 meV/atom

abc: 4.085 4.085 4.374
angles: 90.00 90.00 90.00
Sites, in units of the cell vectors:
Na: 0.000 0.000 0.000
Hg: 0.500 0.500 0.000
H: 0.000 0.000 0.500
Pd: 0.000 0.500 0.500
Pd: 0.500 0.000 0.500

=====

# 2
Na2HgHPt | GGA-PBE | optimized geometry

Results
Space-group type   P4/mmm

abc: 5.010 5.010 3.574
angles: 90.00 90.00 90.00
Sites, in units of the cell vectors:
Na: 0.000 0.500 0.000
Na: 0.500 0.000 0.000
Hg: 0.000 0.000 0.500
H: 0.500 0.500 0.000
Pt: 0.500 0.500 0.500

=====

# 3
NaHgHPt2 | GGA-PBE | optimized geometry

Results
Space-group type   P4/mmm

abc: 4.055 4.055 4.403
angles: 90.00 90.00 90.00
Sites, in units of the cell vectors:
Na: 0.000 0.000 0.000
Hg: 0.500 0.500 0.000
H: 0.000 0.000 0.500
Pt: 0.000 0.500 0.500
Pt: 0.500 0.000 0.500

=====

# 4
RbNa2HgH | GGA-PBE | optimized geometry

Results
Space-group type   P4/mmm

abc: 4.996 4.996 5.768
angles: 90.00 90.00 90.00
Sites, in units of the cell vectors:
Rb: 0.000 0.000 0.000
Na: 0.000 0.500 0.500
Na: 0.500 0.000 0.500
Hg: 0.500 0.500 0.000
H: 0.000 0.000 0.500

=====

# 5
Rb2NaHgH | GGA-PBE | optimized geometry

Results
Space-group type   P4/mmm
Offset from the most stable computed form   51 meV/atom

abc: 5.601 5.601 6.082
angles: 90.00 90.00 90.00
Sites, in units of the cell vectors:
Rb: 0.000 0.500 0.000
Rb: 0.500 0.000 0.000
Na: 0.000 0.000 0.500
Hg: 0.500 0.500 0.500
H: 0.500 0.500 0.000

=====

# 6
Rb2NaHgH | GGA-PBE | optimized geometry

Results
Space-group type   P4/mmm
Offset from the most stable computed form   0 meV/atom

abc: 5.905 5.905 5.009
angles: 90.00 90.00 90.00
Sites, in units of the cell vectors:
Rb: 0.000 0.500 0.000
Rb: 0.500 0.000 0.000
Na: 0.000 0.000 0.500
Hg: 0.500 0.500 0.500
H: 0.000 0.000 0.000

=====

# 7
Rb3NaHg2H6 | GGA-PBE | optimized geometry

Results
Space-group type   P-3m1

abc: 6.183 6.183 7.612
angles: 90.00 90.00 120.00
Sites, in units of the cell vectors:
Rb: 0.000 0.000 0.000
Rb: 0.333 0.667 0.689
Rb: 0.667 0.333 0.311
Na: 0.000 0.000 0.500
Hg: 0.333 0.667 0.212
Hg: 0.667 0.333 0.788
H: 0.171 0.343 0.306
H: 0.171 0.829 0.306
H: 0.343 0.171 0.694
H: 0.657 0.829 0.306
H: 0.829 0.171 0.694
H: 0.829 0.657 0.694

=====

# 8
Rb3NaHg2H8 | GGA-PBE | optimized geometry

Results
Space-group type   P-3m1

abc: 6.140 6.140 8.100
angles: 90.00 90.00 120.00
Sites, in units of the cell vectors:
Rb: 0.000 0.000 0.000
Rb: 0.333 0.667 0.673
Rb: 0.667 0.333 0.327
Na: 0.000 0.000 0.500
Hg: 0.333 0.667 0.230
Hg: 0.667 0.333 0.770
H: 0.174 0.349 0.323
H: 0.174 0.826 0.323
H: 0.333 0.667 0.014
H: 0.349 0.174 0.677
H: 0.651 0.826 0.323
H: 0.667 0.333 0.986
H: 0.826 0.174 0.677
H: 0.826 0.651 0.677

=====

Number 1: density of states at the Fermi level 0.18 states/eV/atom, calculated total energy -16.4 eV/cell. Number 2: density of states at the Fermi level 0.21 states/eV/atom, calculated total energy -13.4 eV/cell. Number 3: density of states at the Fermi level 0.47 states/eV/atom, calculated total energy -17.8 eV/cell. Number 4: density of states at the Fermi level 0.74 states/eV/atom, calculated total energy -7.4 eV/cell. Number 5: density of states at the Fermi level 0.13 states/eV/atom, calculated total energy -7.0 eV/cell. Number 6: density of states at the Fermi level 0.50 states/eV/atom, calculated total energy -7.2 eV/cell. Number 7: density of states at the Fermi level 0.28 states/eV/atom, calculated total energy -25.3 eV/cell. Number 8: density of states at the Fermi level 0.00 states/eV/atom, calculated total energy -33.1 eV/cell.